(1)
Entry from Alexandria via LeMat-Bulk: OsOF5 after structural relaxation (GGA-PBE).

abc: 9.7221 5.1863 8.9095
angles: 90.00 90.00 90.00
Fractional coordinates of all 28 atoms:
Os (0.1276, 0.0813, 0.0000)
Os (0.3724, 0.5813, 0.5000)
Os (0.6276, 0.4187, 0.0000)
Os (0.8724, 0.9187, 0.5000)
O (0.2254, 0.9496, 0.8625)
O (0.2746, 0.4496, 0.3625)
O (0.7254, 0.5504, 0.8625)
O (0.7746, 0.0504, 0.3625)
F (0.0042, 0.8027, 0.0122)
F (0.0057, 0.2514, 0.8693)
F (0.0185, 0.2271, 0.1556)
F (0.2308, 0.3875, 0.0148)
F (0.2311, 0.9397, 0.1585)
F (0.2689, 0.4397, 0.6585)
F (0.2692, 0.8875, 0.5148)
F (0.4815, 0.7271, 0.6556)
F (0.4943, 0.7514, 0.3693)
F (0.4958, 0.3027, 0.5122)
F (0.5042, 0.6973, 0.0122)
F (0.5057, 0.2486, 0.8693)
F (0.5185, 0.2729, 0.1556)
F (0.7308, 0.1125, 0.0148)
F (0.7311, 0.5603, 0.1585)
F (0.7689, 0.0603, 0.6585)
F (0.7692, 0.6125, 0.5148)
F (0.9815, 0.7729, 0.6556)
F (0.9943, 0.7486, 0.3693)
F (0.9958, 0.1973, 0.5122)

Computed properties:
* uncorrected energy: -5.247 eV/atom
* crystal system: orthorhombic
* size of the total moment: 0.14 μB/atom
* volume: 16.04 Å³ per atom
* space group: No. 33
* ΔE_f (raw): -1598 meV/atom

(2)
Entry from Alexandria via LeMat-Bulk: ReRuRh2 after structural relaxation (GGA-PBE).

abc: 8.9921 8.9921 8.9921
angles: 17.51 17.51 17.51
Fractional coordinates of all 4 atoms:
Re (0.0000, 0.0000, 0.0000)
Ru (0.7492, 0.7492, 0.7492)
Rh (0.2511, 0.2511, 0.2511)
Rh (0.4987, 0.4987, 0.4987)

Computed properties:
* uncorrected energy: -9.088 eV/atom
* crystal system: trigonal
* calculated formation energy: 0.018 eV per atom
* size of the total moment: 0.00 μB/atom
* volume: 14.36 Å³ per atom
* space group: No. 160

(3)
Entry from Alexandria via LeMat-Bulk: Sr2TaNbO6 after structural relaxation (GGA-PBE).

abc: 4.0777 4.0777 8.1729
angles: 90.00 90.00 90.00
Fractional coordinates of all 10 atoms:
Sr (0.0000, 0.0000, 0.2434)
Sr (0.0000, 0.0000, 0.7566)
Ta (0.5000, 0.5000, 0.5000)
Nb (0.5000, 0.5000, 0.0000)
O (0.0000, 0.5000, 0.0000)
O (0.0000, 0.5000, 0.5000)
O (0.5000, 0.0000, 0.0000)
O (0.5000, 0.0000, 0.5000)
O (0.5000, 0.5000, 0.2551)
O (0.5000, 0.5000, 0.7449)

Computed properties:
* uncorrected energy: -8.324 eV/atom
* crystal system: tetragonal
* size of the total moment: 0.00 μB/atom
* volume: 13.59 Å³ per atom
* space group: No. 123
* ΔE_f (raw): -2820 meV/atom

(4)
Entry from Alexandria via LeMat-Bulk: AcPuTl2 after structural relaxation (GGA-PBE).

abc: 5.1880 5.1880 4.6515
angles: 90.00 90.00 90.00
Fractional coordinates of all 4 atoms:
Ac (0.0000, 0.0000, 0.0000)
Pu (0.5000, 0.5000, 0.0000)
Tl (0.0000, 0.5000, 0.5000)
Tl (0.5000, 0.0000, 0.5000)

Computed properties:
* uncorrected energy: -5.925 eV/atom
* crystal system: tetragonal
* calculated formation energy: -0.131 eV per atom
* size of the total moment: 1.55 μB/atom
* volume: 31.30 Å³ per atom
* space group: No. 123

(5)
Entry from Alexandria via LeMat-Bulk: NaAgHg4 after structural relaxation (GGA-PBE).

abc: 5.9925 5.9925 5.9925
angles: 60.00 60.00 60.00
Fractional coordinates of all 6 atoms:
Na (0.0000, 0.0000, 0.0000)
Ag (0.7500, 0.7500, 0.7500)
Hg (0.3751, 0.3751, 0.3751)
Hg (0.3751, 0.3751, 0.8746)
Hg (0.3751, 0.8746, 0.3751)
Hg (0.8746, 0.3751, 0.3751)

Computed properties:
* uncorrected energy: -0.861 eV/atom
* crystal system: cubic
* calculated formation energy: 0.036 eV per atom
* size of the total moment: 0.00 μB/atom
* volume: 25.36 Å³ per atom
* space group: No. 216

(6)
Entry from Alexandria via LeMat-Bulk: LaTbHg4 after structural relaxation (GGA-PBE).

abc: 6.0307 6.0307 6.0307
angles: 60.00 60.00 60.00
Fractional coordinates of all 6 atoms:
La (0.0000, 0.0000, 0.0000)
Tb (0.7500, 0.7500, 0.7500)
Hg (0.3752, 0.3752, 0.3752)
Hg (0.3752, 0.3752, 0.8745)
Hg (0.3752, 0.8745, 0.3752)
Hg (0.8745, 0.3752, 0.3752)

Computed properties:
* uncorrected energy: -2.070 eV/atom
* crystal system: cubic
* calculated formation energy: -0.276 eV per atom
* size of the total moment: 0.00 μB/atom
* volume: 25.85 Å³ per atom
* space group: No. 216

(7)
Entry from Alexandria via LeMat-Bulk: BaSnSe2I after structural relaxation (GGA-PBE).

abc: 5.4573 5.4573 5.9203
angles: 90.00 90.00 90.00
Fractional coordinates of all 5 atoms:
Ba (0.0000, 0.0000, 0.0000)
Sn (0.5000, 0.5000, 0.5000)
Se (0.0000, 0.5000, 0.5000)
Se (0.5000, 0.0000, 0.5000)
I (0.5000, 0.5000, 0.0000)

Computed properties:
* uncorrected energy: -3.752 eV/atom
* crystal system: tetragonal
* size of the total moment: 0.00 μB/atom
* volume: 35.26 Å³ per atom
* space group: No. 123
* ΔE_f (raw): -863 meV/atom

(8)
Entry from Alexandria via LeMat-Bulk: Sr2ZrSc after structural relaxation (GGA-PBE).

abc: 3.5990 3.6006 10.7291
angles: 90.00 90.05 90.00
Fractional coordinates of all 4 atoms:
Sr (0.0000, 0.0000, 0.0000)
Sr (0.4981, 0.5000, 0.3216)
Zr (0.9989, 0.0000, 0.5713)
Sc (0.4991, 0.5000, 0.7393)

Computed properties:
* uncorrected energy: -4.284 eV/atom
* crystal system: monoclinic
* calculated formation energy: 0.277 eV per atom
* size of the total moment: 0.00 μB/atom
* volume: 34.76 Å³ per atom
* space group: No. 6

(9)
Entry from Alexandria via LeMat-Bulk: LiZrTc2 after structural relaxation (GGA-PBE).

abc: 2.9098 3.9725 5.5830
angles: 90.00 90.00 90.00
Fractional coordinates of all 4 atoms:
Li (0.0000, 0.0000, 0.0000)
Zr (0.5000, 0.5000, 0.7386)
Tc (0.0000, 0.0000, 0.4582)
Tc (0.5000, 0.5000, 0.2628)

Computed properties:
* uncorrected energy: -7.633 eV/atom
* crystal system: orthorhombic
* calculated formation energy: 0.166 eV per atom
* size of the total moment: 0.00 μB/atom
* volume: 16.13 Å³ per atom
* space group: No. 25

(10)
Entry from Alexandria via LeMat-Bulk: Dy5Zn4Au after structural relaxation (GGA-PBE).

abc: 3.5852 3.5852 17.7337
angles: 90.00 90.00 90.00
Fractional coordinates of all 10 atoms:
Dy (0.0000, 0.0000, 0.0000)
Dy (0.0000, 0.0000, 0.1994)
Dy (0.0000, 0.0000, 0.3987)
Dy (0.0000, 0.0000, 0.6013)
Dy (0.0000, 0.0000, 0.8006)
Zn (0.5000, 0.5000, 0.0998)
Zn (0.5000, 0.5000, 0.2964)
Zn (0.5000, 0.5000, 0.7036)
Zn (0.5000, 0.5000, 0.9002)
Au (0.5000, 0.5000, 0.5000)

Computed properties:
* uncorrected energy: -3.588 eV/atom
* crystal system: tetragonal
* calculated formation energy: -0.450 eV per atom
* size of the total moment: 0.00 μB/atom
* volume: 22.79 Å³ per atom
* space group: No. 123

(11)
Entry from Alexandria via LeMat-Bulk: CaOs2S after structural relaxation (GGA-PBE).

abc: 5.8312 5.8312 5.8312
angles: 102.91 102.91 123.59
Fractional coordinates of all 8 atoms:
Ca (0.0000, 0.0000, 0.0000)
Ca (0.7500, 0.2500, 0.5000)
Os (0.2263, 0.6250, 0.1013)
Os (0.3750, 0.4763, 0.6013)
Os (0.5237, 0.1250, 0.8987)
Os (0.8750, 0.7737, 0.3987)
S (0.2500, 0.7500, 0.5000)
S (0.5000, 0.5000, 0.0000)

Computed properties:
* uncorrected energy: -6.770 eV/atom
* crystal system: tetragonal
* size of the total moment: 0.00 μB/atom
* volume: 18.19 Å³ per atom
* space group: No. 122
* ΔE_f (raw): 377 meV/atom

(12)
Entry from Alexandria via LeMat-Bulk: Li2AgOs after structural relaxation (GGA-PBE).

abc: 2.6382 4.6280 4.8868
angles: 90.00 90.00 90.00
Fractional coordinates of all 4 atoms:
Li (0.0000, 0.0000, 0.0000)
Li (0.5000, 0.0000, 0.5000)
Ag (0.0000, 0.5000, 0.5000)
Os (0.5000, 0.5000, 0.0000)

Computed properties:
* uncorrected energy: -4.198 eV/atom
* crystal system: orthorhombic
* calculated formation energy: 0.279 eV per atom
* size of the total moment: 0.00 μB/atom
* volume: 14.92 Å³ per atom
* space group: No. 47

(13)
Entry from Alexandria via LeMat-Bulk: SrRePt2 after structural relaxation (GGA-PBE).

abc: 2.9016 2.9016 8.7730
angles: 90.00 90.00 90.00
Fractional coordinates of all 4 atoms:
Sr (0.0000, 0.0000, 0.0000)
Re (0.5000, 0.5000, 0.7039)
Pt (0.0000, 0.0000, 0.5048)
Pt (0.5000, 0.5000, 0.2763)

Computed properties:
* uncorrected energy: -6.339 eV/atom
* crystal system: tetragonal
* calculated formation energy: 0.214 eV per atom
* size of the total moment: 0.00 μB/atom
* volume: 18.47 Å³ per atom
* space group: No. 99

(14)
Entry from Alexandria via LeMat-Bulk: LiGa4Pt after structural relaxation (GGA-PBE).

abc: 4.3467 6.7053 7.5234
angles: 79.27 89.57 71.14
Fractional coordinates of all 12 atoms:
Li (0.1453, 0.2109, 0.2204)
Li (0.8547, 0.7891, 0.7796)
Ga (0.0748, 0.3525, 0.8486)
Ga (0.2113, 0.0768, 0.5837)
Ga (0.2931, 0.9139, 0.9461)
Ga (0.4397, 0.6184, 0.6411)
Ga (0.5603, 0.3816, 0.3589)
Ga (0.7069, 0.0861, 0.0539)
Ga (0.7887, 0.9232, 0.4163)
Ga (0.9252, 0.6475, 0.1514)
Pt (0.0000, 0.5000, 0.5000)
Pt (0.5000, 0.5000, 0.0000)

Computed properties:
* uncorrected energy: -3.758 eV/atom
* crystal system: triclinic
* calculated formation energy: -0.415 eV per atom
* size of the total moment: 0.00 μB/atom
* volume: 16.96 Å³ per atom
* space group: No. 2

(15)
Entry from Alexandria via LeMat-Bulk: K4Cd5Sb6 after structural relaxation (GGA-PBE).

abc: 11.2225 11.2225 18.7986
angles: 90.00 90.00 155.06
Fractional coordinates of all 30 atoms:
K (0.0028, 0.9972, 0.5000)
K (0.0212, 0.9788, 0.7562)
K (0.1773, 0.8227, 0.3073)
K (0.1797, 0.8203, 0.9442)
K (0.8203, 0.1797, 0.4442)
K (0.8227, 0.1773, 0.8073)
K (0.9788, 0.0212, 0.2562)
K (0.9972, 0.0028, 0.0000)
Cd (0.1368, 0.8632, 0.6275)
Cd (0.2860, 0.7140, 0.6289)
Cd (0.3602, 0.6398, 0.2537)
Cd (0.3630, 0.6370, 0.9873)
Cd (0.4272, 0.5728, 0.6819)
Cd (0.5728, 0.4272, 0.1819)
Cd (0.6370, 0.3630, 0.4873)
Cd (0.6398, 0.3602, 0.7537)
Cd (0.7140, 0.2860, 0.1289)
Cd (0.8632, 0.1368, 0.1275)
Sb (0.1288, 0.8712, 0.1221)
Sb (0.2095, 0.7905, 0.4980)
Sb (0.2126, 0.7874, 0.7580)
Sb (0.4354, 0.5646, 0.3833)
Sb (0.4405, 0.5595, 0.8537)
Sb (0.4435, 0.5565, 0.1239)
Sb (0.5565, 0.4435, 0.6239)
Sb (0.5595, 0.4405, 0.3537)
Sb (0.5646, 0.4354, 0.8833)
Sb (0.7874, 0.2126, 0.2580)
Sb (0.7905, 0.2095, 0.9980)
Sb (0.8712, 0.1288, 0.6221)

Computed properties:
* uncorrected energy: -2.520 eV/atom
* crystal system: orthorhombic
* size of the total moment: 0.00 μB/atom
* volume: 33.28 Å³ per atom
* space group: No. 36
* ΔE_f (raw): -273 meV/atom

(16)
Entry from Alexandria via LeMat-Bulk: MgIrBr2 after structural relaxation (GGA-PBE).

abc: 8.9527 8.9527 8.9527
angles: 24.60 24.60 24.60
Fractional coordinates of all 4 atoms:
Mg (0.0000, 0.0000, 0.0000)
Ir (0.5000, 0.5000, 0.5000)
Br (0.1134, 0.1134, 0.1134)
Br (0.8866, 0.8866, 0.8866)

Computed properties:
* uncorrected energy: -3.072 eV/atom
* crystal system: trigonal
* size of the total moment: 0.26 μB/atom
* volume: 27.33 Å³ per atom
* space group: No. 166
* ΔE_f (raw): 378 meV/atom

(17)
Entry from Alexandria via LeMat-Bulk: NaGa2HAu after structural relaxation (GGA-PBE).

abc: 5.9666 5.9666 7.2378
angles: 90.00 90.00 136.96
Fractional coordinates of all 10 atoms:
Na (0.0613, 0.9387, 0.7500)
Na (0.9387, 0.0613, 0.2500)
Ga (0.3396, 0.6604, 0.5582)
Ga (0.3396, 0.6604, 0.9418)
Ga (0.6604, 0.3396, 0.0582)
Ga (0.6604, 0.3396, 0.4418)
H (0.5000, 0.5000, 0.0000)
H (0.5000, 0.5000, 0.5000)
Au (0.2151, 0.7849, 0.2500)
Au (0.7849, 0.2151, 0.7500)

Computed properties:
* uncorrected energy: -2.993 eV/atom
* crystal system: orthorhombic
* size of the total moment: 0.00 μB/atom
* volume: 17.59 Å³ per atom
* space group: No. 63

(18)
Entry from Alexandria via LeMat-Bulk: K2SbBr after structural relaxation (GGA-PBE).

abc: 6.0050 6.0050 6.0050
angles: 60.00 60.00 60.00
Fractional coordinates of all 4 atoms:
K (0.2500, 0.2500, 0.2500)
K (0.7500, 0.7500, 0.7500)
Sb (0.0000, 0.0000, 0.0000)
Br (0.5000, 0.5000, 0.5000)

Computed properties:
* uncorrected energy: -2.582 eV/atom
* crystal system: cubic
* size of the total moment: 0.50 μB/atom
* volume: 38.28 Å³ per atom
* space group: No. 225
* ΔE_f (raw): -585 meV/atom

(19)
Entry from Alexandria via LeMat-Bulk: Cu2SnB after structural relaxation (GGA-PBE).

abc: 4.3280 4.3280 4.3280
angles: 60.00 60.00 60.00
Fractional coordinates of all 4 atoms:
Cu (0.2500, 0.2500, 0.2500)
Cu (0.7500, 0.7500, 0.7500)
Sn (0.0000, 0.0000, 0.0000)
B (0.5000, 0.5000, 0.5000)

Computed properties:
* uncorrected energy: -3.851 eV/atom
* crystal system: cubic
* calculated formation energy: 0.868 eV per atom
* size of the total moment: 0.00 μB/atom
* volume: 14.33 Å³ per atom
* space group: No. 225

(20)
Entry from Alexandria via LeMat-Bulk: KNpNiI6 after structural relaxation (GGA-PBE).

abc: 7.6175 7.6175 15.7223
angles: 90.00 90.00 120.00
Fractional coordinates of all 18 atoms:
K (0.0000, 0.0000, 0.0000)
K (0.0000, 0.0000, 0.5000)
Np (0.3333, 0.6667, 0.2500)
Np (0.6667, 0.3333, 0.7500)
Ni (0.3333, 0.6667, 0.7500)
Ni (0.6667, 0.3333, 0.2500)
I (0.0256, 0.3778, 0.6447)
I (0.0256, 0.6478, 0.8553)
I (0.3522, 0.3778, 0.8553)
I (0.3522, 0.9744, 0.6447)
I (0.3778, 0.0256, 0.1447)
I (0.3778, 0.3522, 0.3553)
I (0.6222, 0.6478, 0.6447)
I (0.6222, 0.9744, 0.8553)
I (0.6478, 0.0256, 0.3553)
I (0.6478, 0.6222, 0.1447)
I (0.9744, 0.3522, 0.1447)
I (0.9744, 0.6222, 0.3553)

Computed properties:
* uncorrected energy: -3.942 eV/atom
* crystal system: trigonal
* size of the total moment: 0.22 μB/atom
* volume: 43.89 Å³ per atom
* space group: No. 163
* ΔE_f (raw): -707 meV/atom